The following is a PBE calculation of an optimized crystal structure of CaAc4Cu5, from Alexandria via LeMat-Bulk.

a = 3.7555 Å, b = 3.7555 Å, c = 18.8719 Å
α = 90.00°, β = 90.00°, γ = 90.00°
Last column: nearest neighbours and their distance in Å.
Space group P4/mmm (No. 123)
One atom of each set of equivalent atoms:
Ca  0.0000  0.0000  0.0000 [1 per cell]  8 Cu 3.21
Ac  0.0000  0.0000  0.1941 [2 per cell]  8 Cu 3.24-3.27
Ac  0.0000  0.0000  0.3987 [2 per cell]  8 Cu 3.27-3.29
Cu  0.5000  0.5000  0.0955 [2 per cell]  4 Ca 3.21, 4 Ac 3.24
Cu  0.5000  0.5000  0.2956 [2 per cell]  8 Ac 3.27-3.29
Cu  0.5000  0.5000  0.5000 [1 per cell]  8 Ac 3.27

The total moment is 0.00 μB/f.u. As for the crystal system: tetragonal. The formation energy comes out at -0.077 eV/atom. For the density of states at the Fermi level, the calculation gives 0.71 states/eV/atom. The total energy comes out at -3.9688 eV/atom.